(1)
UGaRh6 | PBE | optimized geometry

a b c (Å): 8.139 7.034 5.191
angles (deg): 41.34 40.81 55.04
Element x y z (fractional)
U1 0.500 0.500 0.500
Ga1 0.000 0.000 0.000
Rh1 0.059 0.476 0.708
Rh2 0.759 0.989 0.747
Rh3 0.570 0.247 0.264
Rh4 0.241 0.011 0.253
Rh5 0.941 0.524 0.292
Rh6 0.430 0.753 0.736

Results
- Energy above the most stable polymorph in this dataset: 192 meV per atom
- Crystal system: triclinic
- Size of the total moment: 0.00 μB per cell
- Space group: No. 2

(2)
UGaRh2 | PBE | optimized geometry

a b c (Å): 3.658 4.355 4.355
angles (deg): 90.00 90.00 90.00
Element x y z (fractional)
Rh1 0.000 0.000 0.500
Rh2 0.000 0.500 0.000
U1 0.500 0.500 0.500
Ga1 0.500 0.000 0.000

Results
- Crystal system: tetragonal
- Size of the total moment: 2.08 μB per cell
- Space group: No. 123

(3)
UGaRh3 | PBE | optimized geometry

a b c (Å): 3.780 6.572 7.292
angles (deg): 90.00 90.00 106.85
Element x y z (fractional)
U1 0.000 0.000 0.000
U2 0.000 0.000 0.500
Ga1 0.217 0.434 0.250
Ga2 0.783 0.566 0.750
Rh1 0.645 0.292 0.459
Rh2 0.355 0.708 0.541
Rh3 0.355 0.708 0.959
Rh4 0.645 0.292 0.041
Rh5 0.859 0.716 0.250
Rh6 0.141 0.284 0.750

Results
- Crystal system: monoclinic
- Size of the total moment: 0.86 μB per cell
- Space group: No. 11

(4)
U2Ga8Rh | PBE | optimized geometry

a b c (Å): 4.296 4.296 11.109
angles (deg): 90.00 90.00 90.00
Element x y z (fractional)
U1 0.000 0.000 0.310
U2 0.000 0.000 0.690
Ga1 0.000 0.500 0.500
Ga2 0.500 0.000 0.500
Ga3 0.500 0.500 0.308
Ga4 0.500 0.500 0.692
Ga5 0.000 0.500 0.124
Ga6 0.500 0.000 0.124
Ga7 0.000 0.500 0.876
Ga8 0.500 0.000 0.876
Rh1 0.000 0.000 0.000

Results
- Crystal system: tetragonal
- Size of the total moment: 3.85 μB per cell
- Space group: No. 123

(5)
U2GaRh3 | PBE | optimized geometry

a b c (Å): 5.596 5.596 7.706
angles (deg): 90.00 90.00 120.00
Element x y z (fractional)
U1 0.667 0.333 0.424
U2 0.333 0.667 0.576
U3 0.333 0.667 0.924
U4 0.667 0.333 0.076
Ga1 0.000 0.000 0.500
Ga2 0.000 0.000 0.000
Rh1 0.171 0.342 0.250
Rh2 0.342 0.171 0.750
Rh3 0.829 0.658 0.750
Rh4 0.171 0.829 0.250
Rh5 0.829 0.171 0.750
Rh6 0.658 0.829 0.250

Results
- Crystal system: hexagonal
- Size of the total moment: 7.02 μB per cell
- Space group: No. 194

(6)
UGa4Rh5 | PBE | optimized geometry

a b c (Å): 3.033 3.033 16.292
angles (deg): 90.00 90.00 90.00
Element x y z (fractional)
U1 0.000 0.000 0.000
Ga1 0.000 0.000 0.217
Ga2 0.000 0.000 0.406
Ga3 0.000 0.000 0.594
Ga4 0.000 0.000 0.783
Rh1 0.500 0.500 0.125
Rh2 0.500 0.500 0.314
Rh3 0.500 0.500 0.500
Rh4 0.500 0.500 0.686
Rh5 0.500 0.500 0.875

Results
- Crystal system: tetragonal
- Size of the total moment: 1.65 μB per cell
- Space group: No. 123

(7)
U2Ga3Rh8 | PBE | optimized geometry

a b c (Å): 6.904 5.572 7.314
angles (deg): 112.39 120.36 90.00
Element x y z (fractional)
U1 0.250 0.356 0.712
U2 0.750 0.644 0.288
Ga1 0.500 0.000 0.000
Ga2 0.000 0.269 0.000
Ga3 0.000 0.731 0.000
Rh1 0.153 0.699 0.398
Rh2 0.847 0.301 0.602
Rh3 0.933 0.124 0.248
Rh4 0.067 0.876 0.752
Rh5 0.562 0.615 0.731
Rh6 0.562 0.115 0.731
Rh7 0.438 0.885 0.269
Rh8 0.438 0.385 0.269

Results
- Crystal system: monoclinic
- Size of the total moment: 0.00 μB per cell
- Space group: No. 12

(8)
UGaRh6 | PBE | optimized geometry

a b c (Å): 3.950 5.562 5.562
angles (deg): 89.98 90.00 90.00
Element x y z (fractional)
U1 0.500 0.000 0.000
Ga1 0.500 0.500 0.500
Rh1 0.000 0.748 0.252
Rh2 0.000 0.252 0.748
Rh3 0.000 0.748 0.748
Rh4 0.000 0.252 0.252
Rh5 0.500 0.500 0.000
Rh6 0.500 0.000 0.500

Results
- Energy above the most stable polymorph in this dataset: 0 meV per atom
- Crystal system: tetragonal
- Size of the total moment: 0.00 μB per cell
- Space group: No. 123

(9)
U2GaRh8 | PBE | optimized geometry

a b c (Å): 4.467 5.943 7.697
angles (deg): 112.70 106.87 90.00
Element x y z (fractional)
U1 0.822 0.322 0.643
U2 0.178 0.678 0.357
Ga1 0.500 0.000 0.000
Rh1 0.360 0.594 0.721
Rh2 0.640 0.873 0.280
Rh3 0.818 0.818 0.637
Rh4 0.000 0.258 0.000
Rh5 0.182 0.182 0.363
Rh6 0.360 0.127 0.720
Rh7 0.640 0.406 0.279
Rh8 0.000 0.742 0.000

Results
- Crystal system: orthorhombic
- Size of the total moment: 0.00 μB per cell
- Space group: No. 71

(10)
UGa3Rh | PBE | optimized geometry

a b c (Å): 6.441 6.441 6.441
angles (deg): 90.00 90.00 90.00
Element x y z (fractional)
U1 0.000 0.500 0.500
U2 0.500 0.000 0.500
U3 0.500 0.500 0.000
Ga1 0.500 0.500 0.500
Ga2 0.215 0.215 0.215
Ga3 0.785 0.785 0.215
Ga4 0.785 0.215 0.785
Ga5 0.215 0.785 0.785
Ga6 0.215 0.215 0.785
Ga7 0.785 0.785 0.785
Ga8 0.215 0.785 0.215
Ga9 0.785 0.215 0.215
Rh1 0.500 0.000 0.000
Rh2 0.000 0.500 0.000
Rh3 0.000 0.000 0.500

Results
- Energy above the most stable polymorph in this dataset: 0 meV per atom
- Crystal system: cubic
- Size of the total moment: 4.64 μB per cell
- Space group: No. 221

(11)
U2Ga5Rh3 | PBE | optimized geometry

a b c (Å): 4.338 6.574 12.517
angles (deg): 90.00 99.98 90.00
Element x y z (fractional)
U1 0.482 0.770 0.964
U2 0.173 0.717 0.347
U3 0.827 0.217 0.653
U4 0.518 0.270 0.036
Ga1 0.396 0.418 0.793
Ga2 0.291 0.502 0.582
Ga3 0.709 0.002 0.418
Ga4 0.126 0.257 0.252
Ga5 0.295 0.901 0.591
Ga6 0.946 0.095 0.893
Ga7 0.705 0.401 0.409
Ga8 0.874 0.757 0.748
Ga9 0.054 0.595 0.107
Ga10 0.604 0.918 0.207
Rh1 0.772 0.696 0.544
Rh2 0.604 0.515 0.208
Rh3 0.048 0.993 0.096
Rh4 0.228 0.196 0.456
Rh5 0.952 0.493 0.904
Rh6 0.396 0.015 0.792

Results
- Crystal system: orthorhombic
- Size of the total moment: 7.50 μB per cell
- Space group: No. 36

(12)
U2Ga3Rh3 | PBE | optimized geometry

a b c (Å): 2.864 7.705 7.705
angles (deg): 120.00 90.00 90.00
Element x y z (fractional)
U1 0.000 0.667 0.333
U2 0.000 0.333 0.667
Ga1 0.000 0.225 0.225
Ga2 0.000 0.000 0.775
Ga3 0.000 0.775 0.000
Rh1 0.500 0.681 0.681
Rh2 0.500 0.000 0.319
Rh3 0.500 0.319 0.000

Results
- Crystal system: hexagonal
- Size of the total moment: 5.68 μB per cell
- Space group: No. 189

(13)
UGaRh5 | PBE | optimized geometry

a b c (Å): 7.642 7.642 10.551
angles (deg): 39.03 39.03 52.42
Element x y z (fractional)
U1 0.665 0.335 0.250
U2 0.335 0.665 0.750
Ga1 0.000 0.000 0.000
Ga2 0.000 0.000 0.500
Rh1 0.685 0.638 0.253
Rh2 0.166 0.457 0.541
Rh3 0.638 0.685 0.753
Rh4 0.021 0.979 0.250
Rh5 0.543 0.834 0.959
Rh6 0.457 0.166 0.041
Rh7 0.979 0.021 0.750
Rh8 0.362 0.315 0.247
Rh9 0.834 0.543 0.459
Rh10 0.315 0.362 0.747

Results
- Crystal system: monoclinic
- Size of the total moment: 0.00 μB per cell
- Space group: No. 15

(14)
UGa5Rh | PBE | optimized geometry

a b c (Å): 4.320 4.320 6.815
angles (deg): 90.00 90.00 90.00
Element x y z (fractional)
U1 0.000 0.000 0.000
Ga1 0.500 0.500 0.000
Ga2 0.500 0.000 0.701
Ga3 0.000 0.500 0.701
Ga4 0.500 0.000 0.299
Ga5 0.000 0.500 0.299
Rh1 0.000 0.000 0.500

Results
- Crystal system: tetragonal
- Size of the total moment: 1.14 μB per cell
- Space group: No. 123

(15)
UGaRh4 | PBE | optimized geometry

a b c (Å): 5.680 6.621 7.078
angles (deg): 116.59 112.20 92.86
Element x y z (fractional)
U1 0.361 0.611 0.221
U2 0.639 0.389 0.779
Ga1 0.109 0.859 0.719
Ga2 0.891 0.141 0.281
Rh1 0.018 0.226 0.004
Rh2 0.486 0.778 0.004
Rh3 0.258 0.510 0.505
Rh4 0.742 0.490 0.495
Rh5 0.252 0.004 0.495
Rh6 0.514 0.222 0.996
Rh7 0.748 0.996 0.505
Rh8 0.982 0.774 0.996

Results
- Crystal system: monoclinic
- Size of the total moment: 0.00 μB per cell
- Space group: No. 15

(16)
UGa3Rh | PBE | optimized geometry

a b c (Å): 3.017 7.670 7.664
angles (deg): 102.93 90.00 90.00
Element x y z (fractional)
U1 0.750 0.351 0.479
U2 0.250 0.649 0.521
Ga1 0.750 0.521 0.161
Ga2 0.250 0.136 0.145
Ga3 0.750 0.927 0.349
Ga4 0.250 0.479 0.839
Ga5 0.250 0.073 0.651
Ga6 0.750 0.864 0.855
Rh1 0.250 0.771 0.090
Rh2 0.750 0.229 0.910

Results
- Energy above the most stable polymorph in this dataset: 124 meV per atom
- Crystal system: monoclinic
- Size of the total moment: 1.91 μB per cell
- Space group: No. 11

(17)
V12Ga3Rh | PBE | optimized geometry

a b c (Å): 4.765 4.774 9.588
angles (deg): 90.00 90.00 90.00
Element x y z (fractional)
V1 0.500 0.000 0.380
V2 0.500 0.000 0.870
V3 0.747 0.500 0.000
V4 0.752 0.500 0.500
V5 0.000 0.754 0.251
V6 0.000 0.754 0.749
V7 0.500 0.000 0.130
V8 0.500 0.000 0.620
V9 0.253 0.500 0.000
V10 0.248 0.500 0.500
V11 0.000 0.246 0.251
V12 0.000 0.246 0.749
Ga1 0.500 0.500 0.249
Ga2 0.500 0.500 0.751
Ga3 0.000 0.000 0.000
Rh1 0.000 0.000 0.500

Results
- Crystal system: orthorhombic
- Size of the total moment: 0.00 μB per cell
- Space group: No. 47

(18)
VGaRh3 | PBE | optimized geometry

a b c (Å): 4.486 4.486 4.486
angles (deg): 90.00 90.00 90.00
Element x y z (fractional)
Rh1 0.000 0.500 0.000
Rh2 0.000 0.000 0.500
Rh3 0.500 0.000 0.000
Ga1 0.000 0.000 0.000
V1 0.500 0.500 0.500

Results
- Energy above the most stable polymorph in this dataset: 1029 meV per atom
- Crystal system: cubic
- Size of the total moment: 1.09 μB per cell
- Space group: No. 221

(19)
VGa3Rh | PBE | optimized geometry

a b c (Å): 4.722 4.722 4.722
angles (deg): 90.00 90.00 90.00
Element x y z (fractional)
Rh1 0.000 0.000 0.000
Ga1 0.000 0.500 0.000
Ga2 0.000 0.000 0.500
Ga3 0.500 0.000 0.000
V1 0.500 0.500 0.500

Results
- Energy above the most stable polymorph in this dataset: 0 meV per atom
- Crystal system: cubic
- Size of the total moment: 4.23 μB per cell
- Space group: No. 221

(20)
V4Ga3Rh | PBE | optimized geometry

a b c (Å): 4.214 4.314 6.855
angles (deg): 108.34 107.90 90.00
Element x y z (fractional)
Rh1 0.500 0.000 0.000
Ga1 0.000 0.500 0.000
Ga2 0.867 0.867 0.734
Ga3 0.133 0.133 0.266
V1 0.751 0.252 0.503
V2 0.249 0.748 0.497
V3 0.370 0.370 0.739
V4 0.630 0.630 0.261

Results
- Crystal system: orthorhombic
- Size of the total moment: 0.00 μB per cell
- Space group: No. 71

Number 1: electronic total energy -0.5597 Ry per atom, formation enthalpy at 0 K -2.50 eV/f.u.. Number 2: electronic total energy -0.5667 Ry per atom, formation enthalpy at 0 K -1.82 eV/f.u.. Number 3: electronic total energy -0.5750 Ry per atom, formation enthalpy at 0 K -2.74 eV/f.u.. Number 4: electronic total energy -0.3887 Ry per atom, formation enthalpy at 0 K -4.04 eV/f.u.. Number 5: electronic total energy -0.6293 Ry per atom, formation enthalpy at 0 K -3.72 eV/f.u.. Number 6: electronic total energy -0.4882 Ry per atom, formation enthalpy at 0 K -6.27 eV/f.u.. Number 7: electronic total energy -0.5457 Ry per atom, formation enthalpy at 0 K -6.05 eV/f.u.. Number 8: electronic total energy -0.5738 Ry per atom, formation enthalpy at 0 K -4.03 eV/f.u.. Number 9: electronic total energy -0.5982 Ry per atom, formation enthalpy at 0 K -5.11 eV/f.u.. Number 10: electronic total energy -0.4378 Ry per atom, formation enthalpy at 0 K -2.07 eV/f.u.. Number 11: electronic total energy -0.4767 Ry per atom, formation enthalpy at 0 K -5.09 eV/f.u.. Number 12: electronic total energy -0.5135 Ry per atom, formation enthalpy at 0 K -2.18 eV/f.u.. Number 13: electronic total energy -0.5549 Ry per atom, formation enthalpy at 0 K -1.77 eV/f.u.. Number 14: electronic total energy -0.3873 Ry per atom, formation enthalpy at 0 K -3.11 eV/f.u.. Number 15: electronic total energy -0.5671 Ry per atom, formation enthalpy at 0 K -2.57 eV/f.u.. Number 16: electronic total energy -0.4287 Ry per atom, formation enthalpy at 0 K -1.45 eV/f.u.. Number 17: electronic total energy -0.5949 Ry per atom, formation enthalpy at 0 K -3.65 eV/f.u.. Number 18: electronic total energy -0.4496 Ry per atom, formation enthalpy at 0 K 3.61 eV/f.u.. Number 19: electronic total energy -0.3525 Ry per atom, formation enthalpy at 0 K 1.57 eV/f.u.. Number 20: electronic total energy -0.5028 Ry per atom, formation enthalpy at 0 K -1.82 eV/f.u..